Here is a relaxed LiFeF3 crystal from the Alexandria database. Energies are from PBE+U.

Unit cell a=6.5647 b=6.5647 c=5.7920 alpha=87.72 beta=87.72 gamma=83.31
With the nearest neighbours (Å) after each atom.
Fractional coordinates of all 20 atoms:
Li  0.3285  0.3285  0.1149  4 F 1.84-2.01
Li  0.3282  0.6718  0.5000  4 F 1.96-2.03
Li  0.6718  0.3282  0.5000  4 F 1.96-2.03
Li  0.6715  0.6715  0.8851  4 F 1.84-2.01
Fe  0.2340  0.2340  0.6980  5 F 2.03-2.17
Fe  0.1873  0.8127  0.0000  6 F 2.05-2.14
Fe  0.8127  0.1873  0.0000  6 F 2.05-2.14
Fe  0.7660  0.7660  0.3020  5 F 2.03-2.17
F  0.1343  0.1343  0.0640  1 Li 1.94, 2 Fe 2.14
F  0.3722  0.3722  0.4191  3 Li 1.84-2.03, 1 Fe 2.05
F  0.0753  0.7154  0.3274  1 Li 1.96, 2 Fe 2.03-2.11
F  0.7154  0.0753  0.3274  1 Li 1.96, 2 Fe 2.03-2.11
F  0.5262  0.2210  0.8635  1 Li 2.01, 2 Fe 2.05-2.17
F  0.2210  0.5262  0.8635  1 Li 2.01, 2 Fe 2.05-2.17
F  0.4738  0.7790  0.1365  1 Li 2.01, 2 Fe 2.05-2.17
F  0.7790  0.4738  0.1365  1 Li 2.01, 2 Fe 2.05-2.17
F  0.9247  0.2846  0.6726  1 Li 1.96, 2 Fe 2.03-2.11
F  0.2846  0.9247  0.6726  1 Li 1.96, 2 Fe 2.03-2.11
F  0.6278  0.6278  0.5809  3 Li 1.84-2.03, 1 Fe 2.05
F  0.8657  0.8657  0.9360  1 Li 1.94, 2 Fe 2.14

Calculated values
Magnetic moment ... 0.800 μB/atom
Space-group type ... C2/m, No. 12
Mass density ... 3.214 Mg/m³
E_tot ... -5.23 eV/atom